Th6Te3AsOs2 | PBE | optimized geometry

- Total energy: -0.56882 Ry/atom
- ΔE_f (raw): -1140 kJ/mol of formula units
- Volume: 29.86 Å³ per atom
- Magnetic moment: 0.0 μB/cell

abc: 7.3978 7.3978 7.9472
angles: 98.86 98.86 120.00
Closest atoms and distances in Å follow each position.
Sites, in units of the cell vectors:
Os 0.3322 0.6678 0.0000  6 Th 2.85-2.86
Te 0.5000 0.5000 0.5000  6 Th 3.22-3.37
Th 0.2847 0.2847 0.7957  2 Os 2.86, 1 As 3.03
Os 0.6678 0.3322 0.0000  6 Th 2.85-2.86
As 0.0000 0.0000 0.0000  6 Th 3.03-3.04
Te 0.1596 0.8404 0.5000  6 Th 3.27-3.38
Te 0.8404 0.1596 0.5000  6 Th 3.27-3.38
Th 0.0704 0.4226 0.2061  2 Os 2.85-2.86, 1 As 3.04
Th 0.9296 0.5774 0.7939  2 Os 2.85-2.86, 1 As 3.04
Th 0.7153 0.7153 0.2043  2 Os 2.86, 1 As 3.03
Th 0.4226 0.0704 0.2061  2 Os 2.85-2.86, 1 As 3.04
Th 0.5774 0.9296 0.7939  2 Os 2.85-2.86, 1 As 3.04

---

KSr3La | PBE | optimized geometry

- Excess energy over the best structure of this formula in the dataset: 0 meV per atom
- Total energy: -0.12111 Ry/atom
- Volume: 64.37 Å³ per atom
- Calculated formation energy: 0.566 eV/atom
- Magnetic moment: 2.0 μB/cell

abc: 6.8531 6.8531 6.8531
angles: 90.00 90.00 90.00
Closest atoms and distances in Å follow each position.
Sites, in units of the cell vectors:
Sr 0.5000 0.0000 0.0000  2 La 3.43
K 0.5000 0.5000 0.5000  12 Sr 4.85
Sr 0.0000 0.5000 0.0000  2 La 3.43
La 0.0000 0.0000 0.0000  6 Sr 3.43
Sr 0.0000 0.0000 0.5000  2 La 3.43

---

Fe2Pd7Pt2 | PBE | optimized geometry

- Excess energy over the best structure of this formula in the dataset: 0 meV per atom
- Total energy: -0.44467 Ry/atom
- Volume: 14.97 Å³ per atom
- Calculated formation energy: -0.109 eV/atom
- Magnetic moment: 9.4 μB/cell

abc: 6.2321 11.4594 7.3548
angles: 34.35 53.51 35.04
Closest atoms and distances in Å follow each position.
Sites, in units of the cell vectors:
Pd 0.2742 0.4466 0.6421  2 Pt 2.70-2.75, 3 Fe 2.71-2.77, 7 Pd 2.75-2.86
Pt 0.1561 0.6499 0.0911  3 Fe 2.67-2.74, 8 Pd 2.70-2.82, 1 Pt 2.94
Fe 0.4507 0.0987 0.7162  3 Pt 2.67-2.74, 8 Pd 2.71-2.80, 1 Fe 2.85
Pd 0.3716 0.2674 0.1871  2 Fe 2.72-2.78, 8 Pd 2.73-2.82, 2 Pt 2.81-2.82
Fe 0.5493 0.9013 0.2838  3 Pt 2.67-2.74, 8 Pd 2.71-2.80, 1 Fe 2.85
Pt 0.8439 0.3501 0.9089  3 Fe 2.67-2.74, 8 Pd 2.70-2.82, 1 Pt 2.94
Pd 0.7258 0.5534 0.3579  2 Pt 2.70-2.75, 3 Fe 2.71-2.77, 7 Pd 2.75-2.86
Pd 0.9069 0.1861 0.4441  2 Fe 2.72-2.77, 7 Pd 2.73-2.84, 3 Pt 2.76-2.80
Pd 0.0931 0.8139 0.5559  2 Fe 2.72-2.77, 7 Pd 2.73-2.84, 3 Pt 2.76-2.80
Pd 0.6284 0.7326 0.8129  2 Fe 2.72-2.78, 8 Pd 2.73-2.82, 2 Pt 2.81-2.82
Pd 0.0000 0.0000 0.0000  2 Pt 2.73, 8 Pd 2.74-2.83, 2 Fe 2.80

---

Ti4Ni2C | PBE | optimized geometry

- Excess energy over the best structure of this formula in the dataset: 0 meV per atom
- Total energy: -0.58814 Ry/atom
- Volume: 13.24 Å³ per atom
- Calculated formation energy: -0.521 eV/atom
- Magnetic moment: 0.0 μB/cell

abc: 8.0644 8.0644 8.0644
angles: 60.00 60.00 60.00
Closest atoms and distances in Å follow each position.
Sites, in units of the cell vectors:
Ti 0.6250 0.6250 0.1250  6 Ni 2.48
Ti 0.6250 0.1250 0.6250  6 Ni 2.48
Ni 0.8345 0.4966 0.8345  6 Ti 2.48-2.68, 3 Ni 2.72
Ti 0.1250 0.6250 0.6250  6 Ni 2.48
Ni 0.4155 0.4155 0.4155  6 Ti 2.48-2.68, 3 Ni 2.72
Ti 0.1844 0.8156 0.8156  2 C 2.13
Ni 0.7534 0.4155 0.4155  6 Ti 2.48-2.68, 3 Ni 2.72
Ti 0.4344 0.4344 0.0656  2 C 2.13
Ti 0.4344 0.0656 0.0656  2 C 2.13
Ti 0.1844 0.8156 0.1844  2 C 2.13
C 0.1250 0.1250 0.6250  6 Ti 2.13
C 0.1250 0.6250 0.1250  6 Ti 2.13
Ni 0.8345 0.8345 0.8345  6 Ti 2.48-2.68, 3 Ni 2.72
Ti 0.8156 0.8156 0.1844  2 C 2.13
Ni 0.4966 0.8345 0.8345  6 Ti 2.48-2.68, 3 Ni 2.72
C 0.6250 0.1250 0.1250  6 Ti 2.13
Ti 0.8156 0.1844 0.8156  2 C 2.13
Ti 0.0656 0.4344 0.0656  2 C 2.13
Ni 0.4155 0.4155 0.7534  6 Ti 2.48-2.68, 3 Ni 2.72
C 0.1250 0.1250 0.1250  6 Ti 2.13
Ti 0.4344 0.0656 0.4344  2 C 2.13
Ti 0.1844 0.1844 0.8156  2 C 2.13
Ti 0.6250 0.6250 0.6250  6 Ni 2.48
Ti 0.0656 0.4344 0.4344  2 C 2.13
Ti 0.0656 0.0656 0.4344  2 C 2.13
Ni 0.8345 0.8345 0.4966  6 Ti 2.48-2.68, 3 Ni 2.72
Ti 0.8156 0.1844 0.1844  2 C 2.13
Ni 0.4155 0.7534 0.4155  6 Ti 2.48-2.68, 3 Ni 2.72

---

Pm2Pr2Tm5 | PBE | optimized geometry

- Excess energy over the best structure of this formula in the dataset: 0 meV per atom
- Total energy: -0.32319 Ry/atom
- Volume: 33.19 Å³ per atom
- Calculated formation energy: 0.205 eV/atom
- Magnetic moment: 0.0 μB/cell

abc: 11.8578 6.7271 10.1274
angles: 109.40 125.83 90.00
Closest atoms and distances in Å follow each position.
Sites, in units of the cell vectors:
Pr 0.0000 0.0053 0.0000  4 Tm 3.25-3.58, 2 Pm 3.56
Tm 0.5935 0.2548 0.7167  5 Tm 3.21-3.59, 1 Pm 3.40, 2 Pr 3.42-3.58
Tm 0.4065 0.5380 0.2833  5 Tm 3.21-3.59, 1 Pm 3.40, 2 Pr 3.42-3.58
Tm 0.7940 0.7587 0.1076  6 Tm 3.21-3.59, 1 Pr 3.25, 1 Pm 3.35
Pm 0.3672 0.9309 0.7465  4 Tm 3.35-3.66, 2 Pr 3.55-3.56, 1 Pm 3.69
Tm 0.3768 0.0380 0.2833  5 Tm 3.21-3.59, 1 Pm 3.40, 2 Pr 3.42-3.58
Tm 0.1865 0.1512 0.8924  6 Tm 3.21-3.59, 1 Pr 3.25, 1 Pm 3.35
Tm 0.0028 0.6554 0.5000  6 Tm 3.23-3.57, 1 Pr 3.41, 2 Pm 3.55
Tm 0.9972 0.1554 0.5000  6 Tm 3.23-3.57, 1 Pr 3.41, 2 Pm 3.55
Pm 0.6328 0.1844 0.2535  4 Tm 3.35-3.66, 2 Pr 3.55-3.56, 1 Pm 3.69
Pm 0.1207 0.6844 0.2535  4 Tm 3.35-3.66, 2 Pr 3.55-3.56, 1 Pm 3.69
Pr 0.2609 0.3573 0.5000  4 Tm 3.41-3.66, 2 Pm 3.55, 2 Pr 3.81
Tm 0.6232 0.7548 0.7167  5 Tm 3.21-3.59, 1 Pm 3.40, 2 Pr 3.42-3.58
Tm 0.8135 0.2587 0.1076  6 Tm 3.21-3.59, 1 Pr 3.25, 1 Pm 3.35
Pm 0.8793 0.4309 0.7465  4 Tm 3.35-3.66, 2 Pr 3.55-3.56, 1 Pm 3.69
Pr 0.5000 0.5053 0.0000  4 Tm 3.25-3.58, 2 Pm 3.56
Pr 0.7391 0.8573 0.5000  4 Tm 3.41-3.66, 2 Pm 3.55, 2 Pr 3.81
Tm 0.2060 0.6512 0.8924  6 Tm 3.21-3.59, 1 Pr 3.25, 1 Pm 3.35

---

La4CoPb2 | PBE | optimized geometry

- Excess energy over the best structure of this formula in the dataset: 5 meV per atom
- Total energy: -0.39188 Ry/atom
- Volume: 31.85 Å³ per atom
- Calculated formation energy: -0.442 eV/atom
- Magnetic moment: 0.0 μB/cell

abc: 6.5502 7.1246 10.4923
angles: 90.00 114.42 90.00
Closest atoms and distances in Å follow each position.
Sites, in units of the cell vectors:
Pb 0.6950 0.7500 0.0511  1 Co 2.66
La 0.1123 0.7500 0.9153  1 Co 2.52
La 0.4852 0.5004 0.2587  1 Co 2.72
Pb 0.3050 0.2500 0.9489  1 Co 2.66
La 0.8877 0.2500 0.0847  1 Co 2.52
Pb 0.7639 0.7500 0.5642  8 La 3.41-3.65
Co 0.8589 0.2500 0.8378  4 La 2.50-2.72, 1 Pb 2.66
La 0.1028 0.7500 0.3900  1 Co 2.50
La 0.4852 0.9996 0.2587  1 Co 2.72
Co 0.1411 0.7500 0.1622  4 La 2.50-2.72, 1 Pb 2.66
La 0.5148 0.0004 0.7413  1 Co 2.72
La 0.8972 0.2500 0.6100  1 Co 2.50
La 0.5148 0.4996 0.7413  1 Co 2.72
Pb 0.2361 0.2500 0.4358  8 La 3.41-3.65

---

NbCr2Si2 | PBE | optimized geometry

- Excess energy over the best structure of this formula in the dataset: 0 meV per atom
- Total energy: -0.60839 Ry/atom
- ΔE_f (raw): -118 kJ/mol of formula units
- Volume: 13.51 Å³ per atom
- Magnetic moment: 4.3 μB/cell

abc: 6.7941 6.7941 2.9258
angles: 90.00 90.00 90.00
Closest atoms and distances in Å follow each position.
Sites, in units of the cell vectors:
Cr 0.3455 0.1545 0.5000  6 Si 2.46-2.49
Si 0.3647 0.8647 0.0000  6 Cr 2.46-2.49, 1 Si 2.60, 2 Nb 2.64
Cr 0.6545 0.8455 0.5000  6 Si 2.46-2.49
Cr 0.8455 0.3455 0.5000  6 Si 2.46-2.49
Si 0.1353 0.3647 0.0000  6 Cr 2.46-2.49, 1 Si 2.60, 2 Nb 2.64
Si 0.6353 0.1353 0.0000  6 Cr 2.46-2.49, 1 Si 2.60, 2 Nb 2.64
Nb 0.5000 0.5000 0.0000  4 Si 2.64, 2 Nb 2.93, 8 Cr 2.96
Cr 0.1545 0.6545 0.5000  6 Si 2.46-2.49
Nb 0.0000 0.0000 0.0000  4 Si 2.64, 2 Nb 2.93, 8 Cr 2.96
Si 0.8647 0.6353 0.0000  6 Cr 2.46-2.49, 1 Si 2.60, 2 Nb 2.64

---

Sr2LaZnPd | PBE | optimized geometry

- Total energy: -0.20075 Ry/atom
- Volume: 38.67 Å³ per atom
- Calculated formation energy: 0.220 eV/atom
- Magnetic moment: 0.0 μB/cell

abc: 5.8679 5.8679 5.6147
angles: 90.00 90.00 90.00
Closest atoms and distances in Å follow each position.
Sites, in units of the cell vectors:
Sr 0.5000 0.0000 0.0000  2 Zn 2.93
Zn 0.0000 0.0000 0.0000  2 La 2.81, 4 Sr 2.93
La 0.0000 0.0000 0.5000  2 Zn 2.81
Pd 0.5000 0.5000 0.5000  8 Sr 4.06, 4 La 4.15
Sr 0.0000 0.5000 0.0000  2 Zn 2.93

---

KMoPb2 | PBE | optimized geometry

- Excess energy over the best structure of this formula in the dataset: 69 meV per atom
- Total energy: -0.32414 Ry/atom
- Volume: 26.47 Å³ per atom
- Calculated formation energy: 0.426 eV/atom
- Magnetic moment: 0.0 μB/cell

abc: 3.4574 3.4574 10.4645
angles: 80.81 80.81 59.43
Closest atoms and distances in Å follow each position.
Sites, in units of the cell vectors:
K 0.7500 0.7500 0.7500  6 K 3.43-3.46, 6 Pb 3.59-3.60
Mo 0.2500 0.2500 0.2500  6 Pb 2.93
Pb 0.9853 0.9853 0.0411  3 Mo 2.93
Pb 0.5147 0.5147 0.4589  3 Mo 2.93

---

TmHg6Pd12 | PBE | optimized geometry

- Total energy: -0.27550 Ry/atom
- Volume: 18.31 Å³ per atom
- Calculated formation energy: -0.138 eV/atom
- Magnetic moment: 0.0 μB/cell

abc: 7.2132 7.2132 7.2132
angles: 101.72 101.72 101.72
Closest atoms and distances in Å follow each position.
Sites, in units of the cell vectors:
Hg 0.1755 0.1752 0.4425  7 Pd 2.76-3.01, 2 Hg 2.99, 1 Tm 3.08
Hg 0.5575 0.8245 0.8248  7 Pd 2.76-3.01, 2 Hg 2.99, 1 Tm 3.08
Hg 0.4425 0.1755 0.1752  7 Pd 2.76-3.01, 2 Hg 2.99, 1 Tm 3.08
Pd 0.7458 0.2542 0.9999  4 Hg 2.76-3.01, 6 Pd 2.82-3.05, 1 Tm 2.84
Pd 0.5926 0.5930 0.1823  5 Pd 2.63-2.82, 1 Hg 2.85
Hg 0.8245 0.8248 0.5575  7 Pd 2.76-3.01, 2 Hg 2.99, 1 Tm 3.08
Pd 0.8177 0.4074 0.4070  5 Pd 2.63-2.82, 1 Hg 2.85
Hg 0.1752 0.4425 0.1755  7 Pd 2.76-3.01, 2 Hg 2.99, 1 Tm 3.08
Tm 0.0000 0.0000 0.0000  6 Pd 2.84, 6 Hg 3.08
Pd 0.7458 0.0001 0.2542  4 Hg 2.76-3.01, 6 Pd 2.82-3.05, 1 Tm 2.84
Pd 0.0001 0.2542 0.7458  4 Hg 2.76-3.01, 6 Pd 2.82-3.05, 1 Tm 2.84
Pd 0.1823 0.5926 0.5930  5 Pd 2.63-2.82, 1 Hg 2.85
Pd 0.9999 0.7458 0.2542  4 Hg 2.76-3.01, 6 Pd 2.82-3.05, 1 Tm 2.84
Pd 0.4070 0.8177 0.4074  5 Pd 2.63-2.82, 1 Hg 2.85
Hg 0.8248 0.5575 0.8245  7 Pd 2.76-3.01, 2 Hg 2.99, 1 Tm 3.08
Pd 0.2542 0.7458 0.0001  4 Hg 2.76-3.01, 6 Pd 2.82-3.05, 1 Tm 2.84
Pd 0.5930 0.1823 0.5926  5 Pd 2.63-2.82, 1 Hg 2.85
Pd 0.2542 0.9999 0.7458  4 Hg 2.76-3.01, 6 Pd 2.82-3.05, 1 Tm 2.84
Pd 0.4074 0.4070 0.8177  5 Pd 2.63-2.82, 1 Hg 2.85

---

Li2HoPd4 | PBE | optimized geometry

- Excess energy over the best structure of this formula in the dataset: 0 meV per atom
- Total energy: -0.34721 Ry/atom
- Volume: 16.34 Å³ per atom
- Calculated formation energy: -0.556 eV/atom
- Magnetic moment: 0.0 μB/cell

abc: 5.6040 6.4542 8.3464
angles: 118.53 108.91 100.74
Closest atoms and distances in Å follow each position.
Sites, in units of the cell vectors:
Li 0.6462 0.3168 0.1656  6 Pd 2.51-2.72
Ho 0.2913 0.6703 0.4644  6 Pd 2.79-3.06, 1 Li 3.09
Pd 0.2547 0.0960 0.7810  4 Li 2.60-2.69, 5 Pd 2.74-2.88, 2 Ho 2.85-2.86
Ho 0.0559 0.9702 0.0104  8 Pd 2.70-2.89
Pd 0.8425 0.6239 0.0922  3 Li 2.51-2.62, 2 Pd 2.76-2.80, 1 Ho 2.81
Pd 0.4718 0.0909 0.3619  2 Li 2.49-2.58, 1 Ho 2.71
Li 0.4933 0.3913 0.6997  6 Pd 2.49-2.74, 1 Li 2.73
Li 0.0229 0.4020 0.7265  6 Pd 2.49-2.71, 2 Li 2.73-2.75
Li 0.8026 0.8782 0.4303  6 Pd 2.44-2.63
Pd 0.3166 0.5580 0.0981  3 Li 2.54-2.72, 3 Pd 2.74-2.80
Pd 0.7575 0.1228 0.7968  3 Li 2.53-2.82, 2 Ho 2.70-2.79, 2 Pd 2.75-2.80
Pd 0.8146 0.6077 0.5649  3 Li 2.49-2.62
Pd 0.4931 0.8331 0.9414  3 Li 2.52-2.71
Pd 0.9869 0.1890 0.3668  3 Li 2.44-2.64

---

PmPr2Dy6Er | PBE | optimized geometry

- Total energy: -0.33311 Ry/atom
- Volume: 32.94 Å³ per atom
- Calculated formation energy: 0.116 eV/atom
- Magnetic moment: 0.0 μB/cell

abc: 9.7579 8.7968 8.7968
angles: 117.97 94.61 94.61
Closest atoms and distances in Å follow each position.
Sites, in units of the cell vectors:
Dy 0.9427 0.8772 0.2597  8 Dy 3.42-3.77, 1 Pr 3.57, 1 Pm 3.66, 1 Er 3.76
Pm 0.2500 0.9830 0.0170  4 Pr 3.37-3.39, 4 Dy 3.62-3.66
Pr 0.5426 0.1946 0.2960  5 Dy 3.28-3.57, 2 Pm 3.37-3.39, 1 Er 3.56
Dy 0.8127 0.4266 0.9801  2 Dy 3.25-3.59, 1 Pr 3.42, 1 Er 3.46, 1 Pm 3.62
Dy 0.3810 0.5076 0.2953  4 Dy 3.25-3.50, 3 Pr 3.28-3.49, 2 Er 3.44-3.58
Er 0.7500 0.5930 0.4070  8 Dy 3.44-3.76, 2 Pr 3.56
Pr 0.0426 0.2960 0.1946  5 Dy 3.28-3.57, 2 Pm 3.37-3.39, 1 Er 3.56
Er 0.2500 0.4070 0.5930  8 Dy 3.44-3.76, 2 Pr 3.56
Dy 0.8810 0.2953 0.5076  4 Dy 3.25-3.50, 3 Pr 3.28-3.49, 2 Er 3.44-3.58
Dy 0.6190 0.4924 0.7047  4 Dy 3.25-3.50, 3 Pr 3.28-3.49, 2 Er 3.44-3.58
Dy 0.3127 0.9801 0.4266  2 Dy 3.25-3.59, 1 Pr 3.42, 1 Er 3.46, 1 Pm 3.62
Dy 0.1873 0.5734 0.0199  2 Dy 3.25-3.59, 1 Pr 3.42, 1 Er 3.46, 1 Pm 3.62
Pr 0.9574 0.7040 0.8054  5 Dy 3.28-3.57, 2 Pm 3.37-3.39, 1 Er 3.56
Dy 0.0573 0.1228 0.7403  8 Dy 3.42-3.77, 1 Pr 3.57, 1 Pm 3.66, 1 Er 3.76
Pr 0.4574 0.8054 0.7040  5 Dy 3.28-3.57, 2 Pm 3.37-3.39, 1 Er 3.56
Dy 0.5573 0.7403 0.1228  8 Dy 3.42-3.77, 1 Pr 3.57, 1 Pm 3.66, 1 Er 3.76
Dy 0.1190 0.7047 0.4924  4 Dy 3.25-3.50, 3 Pr 3.28-3.49, 2 Er 3.44-3.58
Pm 0.7500 0.0170 0.9830  4 Pr 3.37-3.39, 4 Dy 3.62-3.66
Dy 0.6873 0.0199 0.5734  2 Dy 3.25-3.59, 1 Pr 3.42, 1 Er 3.46, 1 Pm 3.62
Dy 0.4427 0.2597 0.8772  8 Dy 3.42-3.77, 1 Pr 3.57, 1 Pm 3.66, 1 Er 3.76